A plane-wave DFT calculation with GGA-PBE was carried out for a geometry-optimized Pm3As5Ir6 structure.

**Fermi-level density of states**: 7.2 states/eV/f.u.
**Uncorrected energy**: -201.80 eV for the cell shown
**Calculated density**: 12.52 g/cm3

a b c (Å): 4.062 12.439 10.308
angles (deg): 90.00 90.00 90.00
Space group Pmmn (No. 59, origin choice 2)
One atom of each set of equivalent atoms:
Pm1 0.250 0.090 0.249 (multiplicity 4)
Pm2 0.250 0.750 0.264 (multiplicity 2)
As1 0.250 0.079 0.852 (multiplicity 4)
As2 0.250 0.626 0.528 (multiplicity 4)
As3 0.250 0.750 0.866 (multiplicity 2)
Ir1 0.250 0.061 0.618 (multiplicity 4)
Ir2 0.250 0.250 0.487 (multiplicity 2)
Ir3 0.250 0.250 0.987 (multiplicity 2)
Ir4 0.250 0.584 0.008 (multiplicity 4)


A plane-wave DFT calculation with GGA-PBE was carried out for a geometry-optimized Ta2InRe structure.

**Fermi-level density of states**: 4.8 states/eV/f.u.
**Uncorrected energy**: -113.90 eV for the cell shown
**Calculated density**: 14.60 g/cm3

a b c (Å): 3.1184 3.1184 26.8532
angles (deg): 90.00 90.00 120.00
Space group R-3m (No. 166, hexagonal axes)
One atom of each set of equivalent atoms:
Ta1 0.0000 0.0000 0.2408 (multiplicity 6)
In1 0.0000 0.0000 0.0000 (multiplicity 3)
Re1 0.0000 0.0000 0.5000 (multiplicity 3)


A plane-wave DFT calculation with GGA-PBE was carried out for a geometry-optimized Tc3OsO structure.

**Energy above the most stable polymorph in this dataset**: 0 meV/atom
**Fermi-level density of states**: 4.5 states/eV/f.u.
**Uncorrected energy**: -46.69 eV for the cell shown
**Raw formation energy**: 0.1201 eV/atom
**Calculated density**: 12.64 g/cm3

a b c (Å): 4.036 4.036 4.036
angles (deg): 90.00 90.00 90.00
Space group Pm-3m (No. 221)
One atom of each set of equivalent atoms:
Tc1 0.000 0.000 0.500 (multiplicity 3)
Os1 0.500 0.500 0.500 (multiplicity 1)
O1 0.000 0.000 0.000 (multiplicity 1)


A plane-wave DFT calculation with GGA-PBE was carried out for a geometry-optimized Pm2NdSbO8 structure.

**Fermi-level density of states**: 0.0 states/eV/f.u.
**Uncorrected energy**: -87.25 eV for the cell shown
**Raw formation energy**: -2.4325 eV/atom
**Calculated density**: 6.54 g/cm3

a b c (Å): 4.439 7.185 5.444
angles (deg): 90.00 90.21 90.00
Space group P2/m (No. 10)
One atom of each set of equivalent atoms:
Pm1 0.000 0.243 0.000 (multiplicity 2)
Nd1 0.500 0.000 0.500 (multiplicity 1)
Sb1 0.500 0.500 0.500 (multiplicity 1)
O1 0.053 0.000 0.752 (multiplicity 2)
O2 0.074 0.500 0.623 (multiplicity 2)
O3 0.441 0.294 0.254 (multiplicity 4)


A plane-wave DFT calculation with GGA-PBE was carried out for a geometry-optimized CeMgZn2Ge2 structure.

**Fermi-level density of states**: 6.6 states/eV/f.u.
**Uncorrected energy**: -21.54 eV for the cell shown
**Calculated density**: 6.26 g/cm3

a b c (Å): 4.4014 4.4014 6.9621
angles (deg): 90.00 90.00 120.00
Space group P-3m1 (No. 164)
One atom of each set of equivalent atoms:
Ce1 0.0000 0.0000 0.0000 (multiplicity 1)
Mg1 0.0000 0.0000 0.5000 (multiplicity 1)
Zn1 0.3333 0.6667 0.6985 (multiplicity 2)
Ge1 0.3333 0.6667 0.2641 (multiplicity 2)


A plane-wave DFT calculation with GGA-PBE was carried out for a geometry-optimized Li2Pr2YGa2 structure.

**Fermi-level density of states**: 6.0 states/eV/f.u.
**Uncorrected energy**: -83.91 eV for the cell shown
**Calculated density**: 5.15 g/cm3

a b c (Å): 4.6427 4.6427 27.1752
angles (deg): 90.00 90.00 120.00
Space group R-3m (No. 166, hexagonal axes)
One atom of each set of equivalent atoms:
Li1 0.0000 0.0000 0.1111 (multiplicity 6)
Pr1 0.0000 0.0000 0.3746 (multiplicity 6)
Y1 0.0000 0.0000 0.5000 (multiplicity 3)
Ga1 0.0000 0.0000 0.2324 (multiplicity 6)